# 1
Compound: PmHo6Er3Tm2
Source: Alexandria
Functional: GGA-PBE
Structure: optimized geometry

Cell lengths 6.0968, 6.0968, 11.6798 Å; angles 94.98, 94.98, 119.94 degrees
Closest atoms and distances in Å follow each position.
Positions (direct):
Ho 0.4183 0.0843 0.2511  3 Er 3.51, 6 Ho 3.52-3.53, 2 Tm 3.53, 1 Pm 3.54
Ho 0.0843 0.4183 0.2511  3 Er 3.51, 6 Ho 3.52-3.53, 2 Tm 3.53, 1 Pm 3.54
Ho 0.2498 0.2498 0.7490  3 Er 3.51-3.52, 6 Ho 3.52-3.53, 1 Pm 3.53, 2 Tm 3.53
Ho 0.5817 0.9157 0.7489  3 Er 3.51, 6 Ho 3.52-3.53, 2 Tm 3.53, 1 Pm 3.54
Ho 0.9157 0.5817 0.7489  3 Er 3.51, 6 Ho 3.52-3.53, 2 Tm 3.53, 1 Pm 3.54
Ho 0.7502 0.7502 0.2510  3 Er 3.51-3.52, 6 Ho 3.52-3.53, 1 Pm 3.53, 2 Tm 3.53
Er 0.1670 0.8330 0.5000  6 Ho 3.51-3.52, 6 Er 3.52-3.53
Er 0.8330 0.1670 0.5000  6 Ho 3.51-3.52, 6 Er 3.52-3.53
Er 0.5000 0.5000 0.5000  6 Ho 3.51, 6 Er 3.52
Tm 0.6667 0.3333 0.0000  3 Pm 3.52, 3 Tm 3.52, 6 Ho 3.53
Tm 0.3333 0.6667 0.0000  3 Pm 3.52, 3 Tm 3.52, 6 Ho 3.53
Pm 0.0000 0.0000 0.0000  6 Tm 3.52, 6 Ho 3.53-3.54

Results
DFT total energy ... -4.5501 eV/atom
SG ... C2/m, No. 12
Theoretical density ... 8.8 g/cm³
E_form ... 20.6 meV per atom

=====

# 2
Compound: LaNi2Pt
Source: Alexandria
Functional: GGA-PBE
Structure: optimized geometry

Cell lengths 4.2815, 4.2815, 5.4333 Å; angles 66.65, 66.65, 60.04 degrees
Closest atoms and distances in Å follow each position.
Positions (direct):
La 0.2478 0.2478 0.2560  1 Ni 2.74, 1 Pt 2.88
Ni 0.7464 0.7464 0.7610  3 Ni 2.49, 3 Pt 2.52
Ni 0.0588 0.0588 0.8235  3 Ni 2.49, 3 Pt 2.59-2.60, 1 La 2.74
Pt 0.4470 0.4470 0.6595  6 Ni 2.52-2.60

Results
DFT total energy ... -6.1536 eV/atom
SG ... Cm, No. 8
Theoretical density ... 9.8 g/cm³
E_form ... -520.8 meV per atom

=====

# 3
Compound: MgSn5Pd3
Source: Alexandria
Functional: GGA-PBE
Structure: optimized geometry

Cell lengths 7.3774, 7.3774, 10.0283 Å; angles 64.27, 64.27, 77.15 degrees
Closest atoms and distances in Å follow each position.
Positions (direct):
Sn 0.5946 0.0425 0.6062  3 Pd 2.67-2.70
Sn 0.7122 0.2878 0.0000  3 Pd 2.65-2.73
Sn 0.9575 0.4054 0.3938  3 Pd 2.67-2.70
Sn 0.5625 0.5625 0.6434  3 Pd 2.64-2.81
Sn 0.7632 0.7632 0.0087  3 Pd 2.63-2.68
Sn 0.2368 0.2368 0.9913  3 Pd 2.63-2.68
Sn 0.2878 0.7122 0.0000  3 Pd 2.65-2.73
Sn 0.4054 0.9575 0.3938  3 Pd 2.67-2.70
Sn 0.0425 0.5946 0.6062  3 Pd 2.67-2.70
Sn 0.4375 0.4375 0.3566  3 Pd 2.64-2.81
Pd 0.0000 0.0000 0.0000  2 Mg 2.63, 4 Sn 2.65-2.68
Pd 0.3173 0.3173 0.1909  6 Sn 2.63-2.73
Pd 0.3139 0.3139 0.6900  5 Sn 2.63-2.81, 1 Mg 2.68
Pd 0.6827 0.6827 0.8091  6 Sn 2.63-2.73
Pd 0.0000 0.0000 0.5000  2 Mg 2.60, 4 Sn 2.70
Pd 0.6861 0.6861 0.3100  5 Sn 2.63-2.81, 1 Mg 2.68
Mg 0.0779 0.0779 0.6986  3 Pd 2.60-2.68
Mg 0.9221 0.9221 0.3014  3 Pd 2.60-2.68

Results
DFT total energy ... -4.4144 eV/atom
SG ... C2/m, No. 12
Theoretical density ... 7.0 g/cm³
E_form ... -282.5 meV per atom

=====

# 4
Compound: Pm2TmSe3
Source: Alexandria
Functional: GGA-PBE
Structure: optimized geometry

Cell lengths 4.1285, 5.8411, 7.1888 Å; angles 113.97, 106.69, 90.00 degrees
Closest atoms and distances in Å follow each position.
Positions (direct):
Se 0.5000 0.0000 0.5000  2 Tm 2.92, 4 Pm 2.99
Se 0.1559 0.6559 0.8119  2 Tm 2.84, 4 Pm 2.93-2.97
Se 0.8441 0.3441 0.1881  2 Tm 2.84, 4 Pm 2.93-2.97
Pm 0.1731 0.1731 0.8463  6 Se 2.93-2.99
Pm 0.8269 0.8269 0.1537  6 Se 2.93-2.99
Tm 0.5000 0.5000 0.5000  6 Se 2.84-2.92

Results
Energy relative to the elements, uncorrected ... -171.18 kJ/mol of atoms
DFT total energy ... -5.8452 eV/atom
SG ... Immm, No. 71
Theoretical density ... 7.7 g/cm³

=====

# 5
Compound: Pm4AlInHg2
Source: Alexandria
Functional: GGA-PBE
Structure: optimized geometry

Cell lengths 5.3875, 5.3875, 9.3384 Å; angles 73.23, 73.23, 60.00 degrees
Closest atoms and distances in Å follow each position.
Positions (direct):
In 0.0000 0.0000 0.0000  8 Pm 3.33-3.38
Hg 0.2512 0.2512 0.2465  8 Pm 3.25-3.35
Hg 0.7488 0.7488 0.7535  8 Pm 3.25-3.35
Pm 0.8719 0.8719 0.3843  4 Hg 3.25-3.34, 3 Al 3.27, 1 In 3.38
Pm 0.6219 0.6219 0.1343  1 Al 3.22, 4 Hg 3.26-3.35, 3 In 3.33
Pm 0.3781 0.3781 0.8657  1 Al 3.22, 4 Hg 3.26-3.35, 3 In 3.33
Pm 0.1281 0.1281 0.6157  4 Hg 3.25-3.34, 3 Al 3.27, 1 In 3.38
Al 0.5000 0.5000 0.5000  8 Pm 3.22-3.27

Results
DFT total energy ... -3.6956 eV/atom
SG ... R-3m, No. 166
Theoretical density ... 8.4 g/cm³
E_form ... -434.7 meV per atom

=====

# 6
Compound: UFeCo6
Source: Alexandria
Functional: GGA-PBE
Structure: optimized geometry

Cell lengths 3.6850, 5.1260, 5.1260 Å; angles 90.00, 90.00, 90.00 degrees
Closest atoms and distances in Å follow each position.
Positions (direct):
Co 0.0000 0.7403 0.7403  8 Co 2.46-2.66, 2 Fe 2.54, 2 U 2.63
Co 0.0000 0.2597 0.2597  8 Co 2.46-2.66, 2 Fe 2.54, 2 U 2.63
Co 0.0000 0.7402 0.2598  8 Co 2.46-2.66, 2 Fe 2.54, 2 U 2.63
Co 0.5000 0.0000 0.5000  2 Fe 2.56, 2 U 2.56, 8 Co 2.59
Co 0.5000 0.5000 0.0000  2 U 2.56, 2 Fe 2.56, 8 Co 2.59
Co 0.0000 0.2598 0.7402  8 Co 2.46-2.66, 2 Fe 2.54, 2 U 2.63
U 0.5000 0.0000 0.0000  12 Co 2.56-2.63
Fe 0.5000 0.5000 0.5000  12 Co 2.54-2.56

Results
DFT total energy ... -7.8833 eV/atom
SG ... P4/mmm, No. 123
Theoretical density ... 11.1 g/cm³
E_form ... -85.0 meV per atom

=====

# 7
Compound: BaHf2Mo
Source: Alexandria
Functional: GGA-PBE
Structure: optimized geometry

Cell lengths 5.0706, 5.0706, 5.0706 Å; angles 60.00, 60.00, 60.00 degrees
Closest atoms and distances in Å follow each position.
Positions (direct):
Ba 0.5000 0.5000 0.5000  8 Hf 3.11
Mo 0.0000 0.0000 0.0000  8 Hf 3.11
Hf 0.7500 0.7500 0.7500  4 Ba 3.11, 4 Mo 3.11
Hf 0.2500 0.2500 0.2500  4 Mo 3.11, 4 Ba 3.11

Results
DFT total energy ... -7.3148 eV/atom
SG ... Fm-3m, No. 225
Relative energy among the computed polymorphs ... 0 meV per atom
Theoretical density ... 10.6 g/cm³
E_form ... 850.3 meV per atom

=====

# 8
Compound: ZrTaNbIn
Source: Alexandria
Functional: GGA-PBE
Structure: optimized geometry

Cell lengths 4.8384, 4.8384, 4.8384 Å; angles 60.00, 60.00, 60.00 degrees
Closest atoms and distances in Å follow each position.
Positions (direct):
Ta 0.0000 0.0000 0.0000  4 Zr 2.96, 4 Nb 2.96
Zr 0.2500 0.2500 0.2500  4 Ta 2.96, 4 In 2.96
In 0.5000 0.5000 0.5000  4 Zr 2.96, 4 Nb 2.96
Nb 0.7500 0.7500 0.7500  4 In 2.96, 4 Ta 2.96

Results
DFT total energy ... -8.2542 eV/atom
SG ... F-43m, No. 216
Theoretical density ... 9.9 g/cm³
E_form ... 48.1 meV per atom

=====

Q: Look up the DFT total energy of the sixth one.
A: -7.8833 eV/atom

=====

Q: What is the formula in the fifth record?
A: Pm4AlInHg2

=====

Q: Which of these has the lowest theoretical density?
A: MgSn5Pd3